Record 1
Here is crystalline ZrAlCo4 at its relaxed geometry from Alexandria. Energies are from PBE.

Computed properties:
formation energy = -0.3329 eV/atom
magnetization = 2.93 μB/f.u.

```
data_ZrAlCo4
_cell_length_a 6.7689
_cell_length_b 6.7689
_cell_length_c 6.7689
_cell_angle_alpha 90.00
_cell_angle_beta 90.00
_cell_angle_gamma 90.00
_space_group_name_H-M_alt 'F -4 3 m'
_space_group_IT_number 216
_space_group_name_Hall 'F -4 2 3'
loop_
_atom_site_label
_atom_site_fract_x
_atom_site_fract_y
_atom_site_fract_z
Zr1 0.0000 0.0000 0.0000
Al1 0.2500 0.2500 0.2500
Co1 0.1239 0.1239 0.6239
```

Record 2
Here is crystalline Zr4AlCo at its relaxed geometry from Alexandria. Energies are from PBE.

Computed properties:
formation energy = 0.4991 eV/atom
energy relative to the lowest polymorph listed for this composition = 74.50 kJ/mol of atoms
magnetization = 1.10 μB/f.u.

```
data_Zr4AlCo
_cell_length_a 7.9474
_cell_length_b 7.9474
_cell_length_c 7.9474
_cell_angle_alpha 90.00
_cell_angle_beta 90.00
_cell_angle_gamma 90.00
_space_group_name_H-M_alt 'F -4 3 m'
_space_group_IT_number 216
_space_group_name_Hall 'F -4 2 3'
loop_
_atom_site_label
_atom_site_fract_x
_atom_site_fract_y
_atom_site_fract_z
Zr1 0.1252 0.1252 0.1252
Al1 0.2500 0.2500 0.7500
Co1 0.0000 0.0000 0.5000
```

Record 3
Here is crystalline Al5Cr at its relaxed geometry from Alexandria. Energies are from PBE.

Computed properties:
formation energy = 0.1695 eV/atom
magnetization = 0.59 μB/f.u.

```
data_Al5Cr
_cell_length_a 7.1744
_cell_length_b 7.1744
_cell_length_c 7.1744
_cell_angle_alpha 90.00
_cell_angle_beta 90.00
_cell_angle_gamma 90.00
_space_group_name_H-M_alt 'F -4 3 m'
_space_group_IT_number 216
_space_group_name_Hall 'F -4 2 3'
loop_
_atom_site_label
_atom_site_fract_x
_atom_site_fract_y
_atom_site_fract_z
Al1 0.0000 0.0000 0.0000
Al2 0.1243 0.1243 0.6243
Cr1 0.2500 0.2500 0.2500
```

Record 4
Here is crystalline Al2Cr3 at its relaxed geometry from Alexandria. Energies are from PBE.

Computed properties:
formation energy = 0.5610 eV/atom
energy relative to the lowest polymorph listed for this composition = 45.32 kJ/mol of atoms
magnetization = 9.64 μB/f.u.

```
data_Al2Cr3
_cell_length_a 4.2445
_cell_length_b 4.2445
_cell_length_c 5.3035
_cell_angle_alpha 90.00
_cell_angle_beta 90.00
_cell_angle_gamma 120.00
_space_group_name_H-M_alt 'P -3 m 1'
_space_group_IT_number 164
_space_group_name_Hall '-P 3 2"'
loop_
_atom_site_label
_atom_site_fract_x
_atom_site_fract_y
_atom_site_fract_z
Al1 0.3333 0.6667 0.3454
Cr1 0.0000 0.0000 0.5000
Cr2 0.3333 0.6667 0.8522
```

Record 5
Here is crystalline Al5Cr at its relaxed geometry from Alexandria. Energies are from PBE.

Computed properties:
formation energy = -0.0206 eV/atom
magnetization = 1.13 μB/f.u.

```
data_Al5Cr
_cell_length_a 4.7511
_cell_length_b 4.7511
_cell_length_c 4.5963
_cell_angle_alpha 90.00
_cell_angle_beta 90.00
_cell_angle_gamma 120.00
_space_group_name_H-M_alt 'P -6 2 m'
_space_group_IT_number 189
_space_group_name_Hall 'P -6 -2'
loop_
_atom_site_label
_atom_site_fract_x
_atom_site_fract_y
_atom_site_fract_z
Al1 0.0000 0.6823 0.0000
Al2 0.3333 0.6667 0.5000
Cr1 0.0000 0.0000 0.5000
```

Record 6
Here is crystalline Al5Cr at its relaxed geometry from Alexandria. Energies are from PBE.

Computed properties:
formation energy = 0.0037 eV/atom
magnetization = 2.29 μB/f.u.

```
data_Al5Cr
_cell_length_a 2.8229
_cell_length_b 2.8229
_cell_length_c 11.8283
_cell_angle_alpha 90.00
_cell_angle_beta 90.00
_cell_angle_gamma 90.00
_space_group_name_H-M_alt 'P 4/m m m'
_space_group_IT_number 123
_space_group_name_Hall '-P 4 2'
loop_
_atom_site_label
_atom_site_fract_x
_atom_site_fract_y
_atom_site_fract_z
Al1 0.0000 0.0000 0.0000
Al2 0.0000 0.0000 0.3562
Al3 0.5000 0.5000 0.1789
Cr1 0.5000 0.5000 0.5000
```

Record 7
Here is crystalline AlCr4 at its relaxed geometry from Alexandria. Energies are from PBE.

Computed properties:
formation energy = 1.5454 eV/atom
energy relative to the lowest polymorph listed for this composition = 156.96 kJ/mol of atoms
magnetization = 0.64 μB/f.u.

```
data_AlCr4
_cell_length_a 5.3345
_cell_length_b 5.3345
_cell_length_c 5.3345
_cell_angle_alpha 90.00
_cell_angle_beta 90.00
_cell_angle_gamma 90.00
_space_group_name_H-M_alt 'I m -3 m'
_space_group_IT_number 229
_space_group_name_Hall '-I 4 2 3'
loop_
_atom_site_label
_atom_site_fract_x
_atom_site_fract_y
_atom_site_fract_z
Al1 0.0000 0.0000 0.0000
Cr1 0.2500 0.2500 0.2500
```

Record 8
Here is crystalline Al5Cr4 at its relaxed geometry from Alexandria. Energies are from PBE.

Computed properties:
formation energy = 0.0311 eV/atom
energy relative to the lowest polymorph listed for this composition = 0.00 kJ/mol of atoms
magnetization = 7.88 μB/f.u.

```
data_Al5Cr4
_cell_length_a 7.5553
_cell_length_b 7.5553
_cell_length_c 5.1893
_cell_angle_alpha 90.00
_cell_angle_beta 90.00
_cell_angle_gamma 120.00
_space_group_name_H-M_alt 'P 63/m c m'
_space_group_IT_number 193
_space_group_name_Hall '-P 6c 2'
loop_
_atom_site_label
_atom_site_fract_x
_atom_site_fract_y
_atom_site_fract_z
Al1 0.0000 0.2923 0.2500
Al2 0.3333 0.6667 0.0000
Cr1 0.0000 0.0000 0.0000
Cr2 0.0000 0.3720 0.7500
```

Record 9
Here is crystalline Al12Cr at its relaxed geometry from Alexandria. Energies are from PBE.

Computed properties:
formation energy = -0.0741 eV/atom
magnetization = 0.00 μB/f.u.

```
data_Al12Cr
_cell_length_a 7.5088
_cell_length_b 7.5088
_cell_length_c 7.5088
_cell_angle_alpha 90.00
_cell_angle_beta 90.00
_cell_angle_gamma 90.00
_space_group_name_H-M_alt 'I m -3'
_space_group_IT_number 204
_space_group_name_Hall '-I 2 2 3'
loop_
_atom_site_label
_atom_site_fract_x
_atom_site_fract_y
_atom_site_fract_z
Al1 0.0000 0.3038 0.1852
Cr1 0.0000 0.0000 0.0000
```

Record 10
Here is crystalline Al17Cr12 at its relaxed geometry from Alexandria. Energies are from PBE.

Computed properties:
formation energy = -0.0485 eV/atom
magnetization = 0.00 μB/f.u.

```
data_Al17Cr12
_cell_length_a 9.3248
_cell_length_b 9.3248
_cell_length_c 9.3248
_cell_angle_alpha 90.00
_cell_angle_beta 90.00
_cell_angle_gamma 90.00
_space_group_name_H-M_alt 'I -4 3 m'
_space_group_IT_number 217
_space_group_name_Hall 'I -4 2 3'
loop_
_atom_site_label
_atom_site_fract_x
_atom_site_fract_y
_atom_site_fract_z
Al1 0.0000 0.0000 0.0000
Al2 0.0378 0.3582 0.3582
Al3 0.1748 0.1748 0.8252
Cr1 0.0840 0.0840 0.2675
```

Record 11
Here is crystalline AlCr4 at its relaxed geometry from Alexandria. Energies are from PBE.

Computed properties:
formation energy = 0.5019 eV/atom
energy relative to the lowest polymorph listed for this composition = 56.28 kJ/mol of atoms
magnetization = 0.00 μB/f.u.

```
data_AlCr4
_cell_length_a 3.8269
_cell_length_b 3.8269
_cell_length_c 9.4483
_cell_angle_alpha 90.00
_cell_angle_beta 90.00
_cell_angle_gamma 90.00
_space_group_name_H-M_alt 'I 4/m m m'
_space_group_IT_number 139
_space_group_name_Hall '-I 4 2'
loop_
_atom_site_label
_atom_site_fract_x
_atom_site_fract_y
_atom_site_fract_z
Al1 0.0000 0.0000 0.0000
Cr1 0.0000 0.0000 0.3829
Cr2 0.0000 0.5000 0.2500
```

Record 12
Here is crystalline Al8Cr at its relaxed geometry from Alexandria. Energies are from PBE.

Computed properties:
formation energy = -0.0114 eV/atom
magnetization = 2.81 μB/f.u.

```
data_Al8Cr
_cell_length_a 8.4439
_cell_length_b 8.4439
_cell_length_c 3.9988
_cell_angle_alpha 90.00
_cell_angle_beta 90.00
_cell_angle_gamma 90.00
_space_group_name_H-M_alt 'I 4/m m m'
_space_group_IT_number 139
_space_group_name_Hall '-I 4 2'
loop_
_atom_site_label
_atom_site_fract_x
_atom_site_fract_y
_atom_site_fract_z
Al1 0.0000 0.3272 0.0000
Al2 0.1607 0.1607 0.5000
Cr1 0.0000 0.0000 0.0000
```